Zr2SiRh: single point on PBEsol structure, SCAN.

Geometry as POSCAR:
```
Zr2SiRh
1.0
-3.996 1.173 0.351
0.810 -3.793 -2.978
-0.962 -3.748 1.579
Zr Rh Si
2 1 1
Direct
0.250 0.500 0.250
0.750 0.500 0.750
0.500 0.000 0.500
0.000 0.000 0.000
```

Computed properties:
calculated volume	68.1	Å³/cell
energy	-26.97	eV per atom
size of the total moment	0.0	μB/f.u.